Compound: CaZr2Rh
Source: Alexandria
Functional: GGA-PBE
Structure: relaxed

a b c (Å): 4.171 4.171 9.859
angles (deg): 90.00 90.00 90.00
Space group I-4m2 (No. 119)
Symmetry-distinct sites (fractional):
Ca 0.000 0.000 0.000 x2
Zr 0.000 0.000 0.500 x2
Zr 0.000 0.500 0.250 x2
Rh 0.000 0.500 0.750 x2

Calculated values
- formation enthalpy at 0 K (kcal/mol of atoms) = 3.31
- final energy (Ry/atom) = -0.4754
- density (g/cm3) = 6.301
- polymorph energy (0 for the lowest one) (meV per atom) = 367

=====

Compound: CaZr2Rh2
Source: Alexandria
Functional: GGA-PBE
Structure: relaxed

a b c (Å): 4.266 4.266 12.967
angles (deg): 90.00 90.00 90.00
Space group I4/mmm (No. 139)
Symmetry-distinct sites (fractional):
Ca 0.000 0.000 0.000 x2
Zr 0.000 0.000 0.369 x4
Rh 0.000 0.500 0.250 x4

Calculated values
- formation enthalpy at 0 K (kcal/mol of atoms) = -4.09
- final energy (Ry/atom) = -0.5099
- density (g/cm3) = 6.028
- polymorph energy (0 for the lowest one) (meV per atom) = 337

=====

Compound: CaZr2Rh2
Source: Alexandria
Functional: GGA-PBE
Structure: relaxed

a b c (Å): 8.090 8.090 3.079
angles (deg): 90.00 90.00 90.00
Space group P4/mbm (No. 127)
Symmetry-distinct sites (fractional):
Ca 0.000 0.000 0.000 x2
Zr 0.142 0.358 0.000 x4
Rh 0.153 0.653 0.500 x4

Calculated values
- formation enthalpy at 0 K (kcal/mol of atoms) = -10.88
- final energy (Ry/atom) = -0.5316
- density (g/cm3) = 7.060
- polymorph energy (0 for the lowest one) (meV per atom) = 43

=====

Compound: Ca2ZrRh2
Source: Alexandria
Functional: GGA-PBE
Structure: relaxed

a b c (Å): 6.950 6.950 4.666
angles (deg): 90.00 90.00 90.00
Space group P4/mbm (No. 127)
Symmetry-distinct sites (fractional):
Ca 0.171 0.329 0.000 x4
Zr 0.000 0.000 0.500 x2
Rh 0.133 0.633 0.500 x4

Calculated values
- formation enthalpy at 0 K (kcal/mol of atoms) = -9.05
- final energy (Ry/atom) = -0.4295
- density (g/cm3) = 5.558

=====

Compound: CaZr2Rh
Source: Alexandria
Functional: GGA-PBE
Structure: relaxed

a b c (Å): 5.562 9.857 3.144
angles (deg): 90.00 90.00 90.00
Space group Cmmm (No. 65)
Symmetry-distinct sites (fractional):
Ca 0.000 0.000 0.000 x2
Zr 0.250 0.250 0.500 x4
Rh 0.000 0.500 0.000 x2

Calculated values
- formation enthalpy at 0 K (kcal/mol of atoms) = 3.69
- final energy (Ry/atom) = -0.4742
- density (g/cm3) = 6.270
- polymorph energy (0 for the lowest one) (meV per atom) = 383

=====

Compound: CaZr2Rh3
Source: Alexandria
Functional: GGA-PBE
Structure: relaxed

a b c (Å): 3.347 3.347 10.182
angles (deg): 90.00 90.00 90.00
Space group P4/mmm (No. 123)
Symmetry-distinct sites (fractional):
Ca 0.000 0.000 0.000 x1
Zr 0.000 0.000 0.336 x2
Rh 0.500 0.500 0.199 x2
Rh 0.500 0.500 0.500 x1

Calculated values
- formation enthalpy at 0 K (kcal/mol of atoms) = -16.66
- final energy (Ry/atom) = -0.5572
- density (g/cm3) = 7.736

=====

Compound: CaZr4Rh5
Source: Alexandria
Functional: GGA-PBE
Structure: relaxed

a b c (Å): 3.311 3.311 16.968
angles (deg): 90.00 90.00 90.00
Space group P4/mmm (No. 123)
Symmetry-distinct sites (fractional):
Ca 0.000 0.000 0.000 x1
Zr 0.000 0.000 0.207 x2
Zr 0.000 0.000 0.403 x2
Rh 0.500 0.500 0.123 x2
Rh 0.500 0.500 0.307 x2
Rh 0.500 0.500 0.500 x1

Calculated values
- formation enthalpy at 0 K (kcal/mol of atoms) = -17.12
- final energy (Ry/atom) = -0.5908
- density (g/cm3) = 8.209

=====

Compound: CaZr2Rh
Source: Alexandria
Functional: GGA-PBE
Structure: relaxed

a b c (Å): 3.474 5.015 10.270
angles (deg): 90.00 90.00 90.00
Space group Imm2 (No. 44)
Symmetry-distinct sites (fractional):
Ca 0.000 0.000 0.000 x2
Zr 0.000 0.000 0.420 x2
Zr 0.000 0.500 0.212 x2
Rh 0.000 0.500 0.729 x2

Calculated values
- formation enthalpy at 0 K (kcal/mol of atoms) = -2.79
- final energy (Ry/atom) = -0.4949
- density (g/cm3) = 6.041
- polymorph energy (0 for the lowest one) (meV per atom) = 102

=====

Compound: CaZr2Rh
Source: Alexandria
Functional: GGA-PBE
Structure: relaxed

a b c (Å): 11.638 3.340 5.171
angles (deg): 90.00 116.30 90.00
Space group C2/m (No. 12)
Symmetry-distinct sites (fractional):
Ca 0.000 0.000 0.000 x2
Zr 0.208 0.000 0.708 x4
Rh 0.000 0.500 0.500 x2

Calculated values
- formation enthalpy at 0 K (kcal/mol of atoms) = -5.14
- final energy (Ry/atom) = -0.5024
- density (g/cm3) = 5.998
- polymorph energy (0 for the lowest one) (meV per atom) = 0

=====

Compound: CaZr2Rh
Source: Alexandria
Functional: GGA-PBE
Structure: relaxed

a b c (Å): 5.756 10.374 3.134
angles (deg): 90.00 113.75 90.00
Space group C2/m (No. 12)
Symmetry-distinct sites (fractional):
Ca 0.000 0.000 0.000 x2
Zr 0.250 0.250 0.500 x4
Rh 0.000 0.500 0.000 x2

Calculated values
- formation enthalpy at 0 K (kcal/mol of atoms) = 2.28
- final energy (Ry/atom) = -0.4787
- density (g/cm3) = 6.310
- polymorph energy (0 for the lowest one) (meV per atom) = 322

=====

Compound: CaZr2Rh
Source: Alexandria
Functional: GGA-PBE
Structure: relaxed

a b c (Å): 7.012 7.012 7.012
angles (deg): 90.00 90.00 90.00
Space group F-43m (No. 216)
Symmetry-distinct sites (fractional):
Ca 0.000 0.000 0.000 x4
Zr 0.000 0.000 0.500 x4
Zr 0.250 0.250 0.250 x4
Rh 0.250 0.250 0.750 x4

Calculated values
- formation enthalpy at 0 K (kcal/mol of atoms) = 2.97
- final energy (Ry/atom) = -0.4765
- density (g/cm3) = 6.269
- polymorph energy (0 for the lowest one) (meV per atom) = 352

=====

Compound: CaZr2Rh
Source: Alexandria
Functional: GGA-PBE
Structure: relaxed

a b c (Å): 4.160 4.160 5.015
angles (deg): 90.00 90.00 90.00
Space group P4/mmm (No. 123)
Symmetry-distinct sites (fractional):
Ca 0.000 0.000 0.000 x1
Zr 0.000 0.500 0.500 x2
Rh 0.500 0.500 0.000 x1

Calculated values
- formation enthalpy at 0 K (kcal/mol of atoms) = 1.10
- final energy (Ry/atom) = -0.4825
- density (g/cm3) = 6.227
- polymorph energy (0 for the lowest one) (meV per atom) = 271

=====

Compound: CaZr2Rh
Source: Alexandria
Functional: GGA-PBE
Structure: relaxed

a b c (Å): 4.087 4.087 10.356
angles (deg): 90.00 90.00 90.00
Space group I4/mmm (No. 139)
Symmetry-distinct sites (fractional):
Ca 0.000 0.000 0.000 x2
Zr 0.000 0.500 0.250 x4
Rh 0.000 0.000 0.500 x2

Calculated values
- formation enthalpy at 0 K (kcal/mol of atoms) = 1.77
- final energy (Ry/atom) = -0.4804
- density (g/cm3) = 6.248
- polymorph energy (0 for the lowest one) (meV per atom) = 300

=====

Compound: CaZr2Rh
Source: Alexandria
Functional: GGA-PBE
Structure: relaxed

a b c (Å): 3.4552 3.4552 28.9742
angles (deg): 90.00 90.00 120.00
Space group R-3m (No. 166, hexagonal axes)
Symmetry-distinct sites (fractional):
Ca 0.0000 0.0000 0.0000 x3
Zr 0.0000 0.0000 0.2283 x6
Rh 0.0000 0.0000 0.5000 x3

Calculated values
- formation enthalpy at 0 K (kcal/mol of atoms) = -0.84
- final energy (Ry/atom) = -0.4887
- density (g/cm3) = 5.412
- polymorph energy (0 for the lowest one) (meV per atom) = 186

=====

Compound: CaZr2Rh
Source: Alexandria
Functional: GGA-PBE
Structure: relaxed

a b c (Å): 6.919 6.919 6.919
angles (deg): 90.00 90.00 90.00
Space group Fm-3m (No. 225)
Symmetry-distinct sites (fractional):
Ca 0.000 0.000 0.000 x4
Zr 0.250 0.250 0.250 x8
Rh 0.000 0.000 0.500 x4

Calculated values
- formation enthalpy at 0 K (kcal/mol of atoms) = 1.52
- final energy (Ry/atom) = -0.4811
- density (g/cm3) = 6.525
- polymorph energy (0 for the lowest one) (meV per atom) = 289

=====

Compound: CaZr2Rh
Source: Alexandria
Functional: GGA-PBE
Structure: relaxed

a b c (Å): 3.325 4.468 6.311
angles (deg): 90.00 105.10 90.00
Space group P2/m (No. 10)
Symmetry-distinct sites (fractional):
Ca 0.000 0.000 0.000 x1
Zr 0.401 0.500 0.703 x2
Rh 0.000 0.000 0.500 x1

Calculated values
- formation enthalpy at 0 K (kcal/mol of atoms) = -0.79
- final energy (Ry/atom) = -0.4885
- density (g/cm3) = 5.971
- polymorph energy (0 for the lowest one) (meV per atom) = 189

=====

Compound: CaZr2Rh
Source: Alexandria
Functional: GGA-PBE
Structure: relaxed

a b c (Å): 3.278 4.378 6.697
angles (deg): 90.00 101.23 90.00
Space group Pm (No. 6)
Symmetry-distinct sites (fractional):
Ca 0.000 0.000 0.000 x1
Zr 0.394 0.500 0.672 x1
Zr 0.835 0.000 0.456 x1
Rh 0.438 0.500 0.285 x1

Calculated values
- formation enthalpy at 0 K (kcal/mol of atoms) = -1.80
- final energy (Ry/atom) = -0.4917
- density (g/cm3) = 5.732
- polymorph energy (0 for the lowest one) (meV per atom) = 145

=====

Compound: CaZr4Rh
Source: Alexandria
Functional: GGA-PBE
Structure: relaxed

a b c (Å): 8.229 8.229 8.229
angles (deg): 90.00 90.00 90.00
Space group F-43m (No. 216)
Symmetry-distinct sites (fractional):
Ca 0.000 0.000 0.000 x4
Zr 0.124 0.124 0.376 x16
Rh 0.250 0.250 0.750 x4

Calculated values
- formation enthalpy at 0 K (kcal/mol of atoms) = 8.92
- final energy (Ry/atom) = -0.5050
- density (g/cm3) = 6.053

=====

Compound: Ca5Ru
Source: Alexandria
Functional: GGA-PBE
Structure: relaxed

a b c (Å): 5.614 3.837 18.602
angles (deg): 90.00 90.00 90.00
Space group Amm2 (No. 38)
Symmetry-distinct sites (fractional):
Ca 0.000 0.000 0.000 x2
Ca 0.000 0.000 0.244 x2
Ca 0.500 0.000 0.090 x2
Ca 0.500 0.000 0.404 x2
Ca 0.500 0.000 0.732 x2
Ru 0.000 0.000 0.626 x2

Calculated values
- formation enthalpy at 0 K (kcal/mol of atoms) = 5.61
- final energy (Ry/atom) = -0.2183
- density (g/cm3) = 2.499
- polymorph energy (0 for the lowest one) (meV per atom) = 146

=====

Compound: Ca3Ru
Source: Alexandria
Functional: GGA-PBE
Structure: relaxed

a b c (Å): 10.4040 10.4040 3.4856
angles (deg): 90.00 90.00 120.00
Space group R-3m (No. 166, hexagonal axes)
Symmetry-distinct sites (fractional):
Ca 0.0000 0.5000 0.0000 x9
Ru 0.0000 0.0000 0.0000 x3

Calculated values
- formation enthalpy at 0 K (kcal/mol of atoms) = 12.22
- final energy (Ry/atom) = -0.2418
- density (g/cm3) = 3.374

=====

Compound: Ca2Ru
Source: Alexandria
Functional: GGA-PBE
Structure: relaxed

a b c (Å): 6.947 6.947 6.947
angles (deg): 90.00 90.00 90.00
Space group Pa-3 (No. 205)
Symmetry-distinct sites (fractional):
Ca 0.166 0.166 0.166 x8
Ru 0.000 0.000 0.500 x4

Calculated values
- formation enthalpy at 0 K (kcal/mol of atoms) = 9.35
- final energy (Ry/atom) = -0.2955
- density (g/cm3) = 3.591

=====

Compound: CaRu
Source: Alexandria
Functional: GGA-PBE
Structure: relaxed

a b c (Å): 3.0677 3.0677 9.7829
angles (deg): 90.00 90.00 120.00
Space group P6_3mc (No. 186)
Symmetry-distinct sites (fractional):
Ca 0.3333 0.6667 0.0000 x2
Ru 0.3333 0.6667 0.2709 x2

Calculated values
- formation enthalpy at 0 K (kcal/mol of atoms) = 18.52
- final energy (Ry/atom) = -0.3554
- density (g/cm3) = 5.880

=====

Compound: CaRu
Source: Alexandria
Functional: GGA-PBE
Structure: relaxed

a b c (Å): 7.928 7.928 7.928
angles (deg): 90.00 90.00 90.00
Space group Pm-3n (No. 223)
Symmetry-distinct sites (fractional):
Ca 0.000 0.250 0.500 x6
Ru 0.000 0.500 0.250 x6

Calculated values
- formation enthalpy at 0 K (kcal/mol of atoms) = 44.94
- final energy (Ry/atom) = -0.2712
- density (g/cm3) = 2.823

=====

Compound: CaRu
Source: Alexandria
Functional: GGA-PBE
Structure: relaxed

a b c (Å): 11.021 3.060 7.893
angles (deg): 90.00 108.64 90.00
Space group Cm (No. 8)
Symmetry-distinct sites (fractional):
Ca 0.000 0.000 0.000 x2
Ca 0.002 0.000 0.403 x2
Ca 0.196 0.500 0.783 x2
Ru 0.237 0.500 0.374 x2
Ru 0.280 0.000 0.137 x2
Ru 0.369 0.000 0.629 x2

Calculated values
- formation enthalpy at 0 K (kcal/mol of atoms) = 6.72
- final energy (Ry/atom) = -0.3930
- density (g/cm3) = 5.575

=====

Compound: Ca4Ru
Source: Alexandria
Functional: GGA-PBE
Structure: relaxed

a b c (Å): 5.574 5.574 5.574
angles (deg): 90.00 90.00 90.00
Space group Pm-3m (No. 221)
Symmetry-distinct sites (fractional):
Ca 0.000 0.000 0.000 x1
Ca 0.000 0.500 0.500 x3
Ru 0.500 0.500 0.500 x1

Calculated values
- formation enthalpy at 0 K (kcal/mol of atoms) = 3.10
- final energy (Ry/atom) = -0.2442
- density (g/cm3) = 2.507
- polymorph energy (0 for the lowest one) (meV per atom) = 100

=====

Compound: Ca2Ru
Source: Alexandria
Functional: GGA-PBE
Structure: relaxed

a b c (Å): 11.190 4.261 7.673
angles (deg): 90.00 102.21 90.00
Space group Cm (No. 8)
Symmetry-distinct sites (fractional):
Ca 0.000 0.000 0.000 x2
Ca 0.099 0.000 0.531 x2
Ca 0.259 0.500 0.228 x2
Ca 0.393 0.000 0.664 x2
Ru 0.207 0.500 0.805 x2
Ru 0.253 0.000 0.937 x2

Calculated values
- formation enthalpy at 0 K (kcal/mol of atoms) = 2.87
- final energy (Ry/atom) = -0.3162
- density (g/cm3) = 3.367

=====

Compound: CaRu
Source: Alexandria
Functional: GGA-PBE
Structure: relaxed

a b c (Å): 4.1493 4.1493 15.5479
angles (deg): 90.00 90.00 120.00
Space group P6_3/mmc (No. 194)
Symmetry-distinct sites (fractional):
Ca 0.3333 0.6667 0.1164 x4
Ru 0.0000 0.0000 0.2500 x2
Ru 0.3333 0.6667 0.7500 x2

Calculated values
- formation enthalpy at 0 K (kcal/mol of atoms) = 2.57
- final energy (Ry/atom) = -0.4062
- density (g/cm3) = 4.044